Material: Tb2WC
Method: DFT, PBE
State: relaxed

Its formation energy is 0.76 eV/atom. The total magnetization is 0.42 μB per formula unit.

abc: 3.3162 3.3162 26.1980
angles: 90.00 90.00 120.00
With the nearest neighbours (Å) after each atom.
Space group R-3m (No. 166, hexagonal axes)
Asymmetric unit:
Tb  0.0000  0.0000  0.1129 (multiplicity 6)  3 C 2.38
W  0.0000  0.0000  0.0000 (multiplicity 3)  2 Tb 2.96
C  0.0000  0.0000  0.5000 (multiplicity 3)  6 Tb 2.38